{
  "formula": "GaSbPb3",
  "functional": "PBE",
  "state": "optimized geometry",
  "cell": [[5.9390, 0.0000, 0.0000], [0.0000, 5.9390, 0.0000], [0.0000, 0.0000, 5.9390]],
  "species": ["Ga", "Sb", "Pb", "Pb", "Pb"],
  "fractional_positions": [[0.0000, 0.0000, 0.0000], [0.5000, 0.5000, 0.5000], [0.0000, 0.5000, 0.5000], [0.5000, 0.0000, 0.5000], [0.5000, 0.5000, 0.0000]],
  "space_group": "No. 221",
  "dos_at_fermi_per_ev_fu": 4.8,
  "e_form_raw_ev_per_atom": 0.6296,
  "magnetic_moment_mub_per_fu": 0.00,
  "rho_g_cm3": 6.445,
  "e_tot_ev_per_cell": -15.13
}